This record from the Alexandria database describes a relaxed CaUBi2 crystal. The functional is PBE-GGA.

The calculation puts the density of states at the Fermi level at 8.19 states/eV/cell. The value obtained for the formation energy is -0.31 eV/atom. The symmetry is R-3m (166). The energy above the lowest structure with this stoichiometry is 0 meV/atom.

Cell lengths 4.5496, 4.5496, 7.9338 Å; angles 73.34, 73.34, 60.00 degrees
Closest atoms and distances in Å follow each position.
Positions (direct):
U  0.0000  0.0000  0.0000  6 Bi 3.17
Bi  0.2542  0.2542  0.2374  3 U 3.17, 3 Ca 3.28
Bi  0.7458  0.7458  0.7626  3 U 3.17, 3 Ca 3.28
Ca  0.5000  0.5000  0.5000  6 Bi 3.28